[1]
The following is a DFT calculation (PBE) of a relaxed MgSb2Br crystal.

a = 8.1502 Å, b = 8.1502 Å, c = 8.1502 Å
α = 155.49°, β = 144.14°, γ = 43.92°
Fractional coordinates of all 4 atoms:
Br 0.5942 0.5942 0.0000
Mg 0.7177 0.2177 0.5000
Sb 0.8970 0.8970 0.0000
Sb 0.2911 0.7911 0.5000

Computed properties:
- space-group type = No. 44
- size of the total moment (μB per formula unit) = 0.00
- calculated volume (Å³/cell) = 131
- excess energy over the best structure of this formula in the dataset (kJ/mol of atoms) = 5.0
- formation energy without anion corrections (meV/atom) = -360


[2]
The following is a DFT calculation (PBE) of a relaxed MgSb2Br crystal.

a = 4.3601 Å, b = 4.3601 Å, c = 12.6208 Å
α = 80.05°, β = 80.05°, γ = 90.00°
Fractional coordinates of all 8 atoms:
Sb 0.5850 0.1250 0.2500
Sb 0.1650 0.6250 0.2500
Sb 0.3750 0.4150 0.7500
Sb 0.8750 0.8350 0.7500
Mg 0.5000 0.5000 0.0000
Mg 0.2500 0.7500 0.5000
Br 0.0000 0.0000 0.0000
Br 0.7500 0.2500 0.5000

Computed properties:
- space-group type = No. 122
- size of the total moment (μB per formula unit) = 0.00
- calculated volume (Å³/cell) = 233
- excess energy over the best structure of this formula in the dataset (kJ/mol of atoms) = 20.3
- formation energy without anion corrections (meV/atom) = -201


[3]
The following is a DFT calculation (PBE) of a relaxed MgSb2Br crystal.

a = 5.2824 Å, b = 5.2824 Å, c = 5.2824 Å
α = 120.10°, β = 120.10°, γ = 89.83°
Fractional coordinates of all 4 atoms:
Br 0.5000 0.5000 0.0000
Mg 0.7500 0.2500 0.5000
Sb 0.0000 0.0000 0.0000
Sb 0.2500 0.7500 0.5000

Computed properties:
- space-group type = No. 119
- size of the total moment (μB per formula unit) = 0.00
- calculated volume (Å³/cell) = 104
- excess energy over the best structure of this formula in the dataset (kJ/mol of atoms) = 33.0
- formation energy without anion corrections (meV/atom) = -69


[4]
The following is a DFT calculation (PBE) of a relaxed MgSbBr6 crystal.

a = 6.8380 Å, b = 7.9808 Å, c = 7.9808 Å
α = 67.81°, β = 73.41°, γ = 106.59°
Fractional coordinates of all 8 atoms:
Mg 0.0000 0.0000 0.0000
Sb 0.5000 0.0000 0.0000
Br 0.1578 0.7229 0.0000
Br 0.4349 0.2771 0.7229
Br 0.8422 0.2771 0.0000
Br 0.8422 0.0000 0.7229
Br 0.5651 0.7229 0.2771
Br 0.1578 0.0000 0.2771

Computed properties:
- space-group type = No. 166
- size of the total moment (μB per formula unit) = 0.00
- calculated volume (Å³/cell) = 346
- excess energy over the best structure of this formula in the dataset (kJ/mol of atoms) = 0.0
- formation energy without anion corrections (meV/atom) = -797